Compound: Hf3Sc2Hg2
Source: the Open Quantum Materials Database
Functional: PBE
Structure: optimized geometry

Properties
The calculation puts the total energy at -6.29 eV/atom. The mass density comes out at 11.08 Mg/m³. The spin magnetization is 0.00 Bohr magnetons per cell. As for the space group: No. 160. The formation energy from the elements is -0.129 eV/atom.

a b c (Å): 7.872 7.872 7.872
angles (deg): 36.41 36.41 36.41
Atoms (fractional coordinates):
Hf  0.000  0.000  0.000
Hf  0.275  0.275  0.275
Hf  0.684  0.684  0.684
Sc  0.413  0.413  0.413
Sc  0.845  0.845  0.845
Hg  0.132  0.132  0.132
Hg  0.552  0.552  0.552